Compound: Cs2RbAgPt
Source: the Alexandria database
Functional: PBE
Structure: relaxed

* M_tot: 0.0 μB/f.u.
* final energy: -2.2374 eV/atom
* symmetry: No. 123
* energy relative to the elements: 0.4 eV per formula unit

Cell lengths 6.613, 6.412, 6.613 Å; angles 90.00, 90.00, 90.00 degrees
Sites, in units of the cell vectors:
Cs 0.000 0.000 0.500
Cs 0.500 0.000 0.000
Rb 0.000 0.500 0.000
Ag 0.500 0.500 0.500
Pt 0.000 0.000 0.000